Material: LaTb2Nd6Dy
Method: DFT, GGA-PBE
State: optimized geometry

Unit cell a=8.978 b=8.978 c=9.801 alpha=93.81 beta=93.81 gamma=117.35
Element x y z (fractional)
La: 0.027 0.973 0.750
La: 0.973 0.027 0.250
Tb: 0.200 0.299 0.548
Tb: 0.299 0.200 0.048
Tb: 0.701 0.800 0.952
Tb: 0.800 0.701 0.452
Nd: 0.012 0.562 0.684
Nd: 0.116 0.753 0.055
Nd: 0.247 0.884 0.445
Nd: 0.296 0.510 0.881
Nd: 0.438 0.988 0.816
Nd: 0.490 0.704 0.619
Nd: 0.510 0.296 0.381
Nd: 0.562 0.012 0.184
Nd: 0.704 0.490 0.119
Nd: 0.753 0.116 0.555
Nd: 0.884 0.247 0.945
Nd: 0.988 0.438 0.316
Dy: 0.409 0.591 0.250
Dy: 0.591 0.409 0.750

Values from the calculation:
**Density of states at the Fermi level**: 29.13 states/eV per cell
**Mass density**: 7.08 g/cm³
**Formation energy**: 0.113 eV/atom
**Crystal system**: monoclinic